<A>
The following is a DFT calculation (PBE-GGA) of a relaxed structure of KCoHg2.

Output
symmetry: No. 25

Unit cell a=4.193 b=3.258 c=7.753 alpha=90.02 beta=90.00 gamma=90.00
Each line ends with the local moment (μB).
Fractional positions:
Hg 0.500 0.125 0.198  -0.01
K 0.000 0.625 0.504  -0.01
Hg 0.000 0.125 0.890  -0.04
Co 0.500 0.625 0.908  1.39

<B>
The following is a DFT calculation (PBE-GGA) of a relaxed structure of KCoHg2.

Output
symmetry: No. 44

Unit cell a=8.165 b=8.165 c=8.165 alpha=157.93 beta=149.50 gamma=37.96
Each line ends with the local moment (μB).
Fractional positions:
Hg 0.751 0.251 0.500  -0.04
Hg 0.087 0.087 0.000  -0.01
K 0.431 0.431 0.000  -0.01
Co 0.231 0.731 0.500  1.25

<C>
The following is a DFT calculation (PBE-GGA) of a relaxed structure of KCoHg2.

Output
symmetry: No. 119

Unit cell a=5.859 b=5.859 c=5.859 alpha=134.58 beta=134.58 gamma=66.18
Each line ends with the local moment (μB).
Fractional positions:
Hg 0.250 0.750 0.500  -0.01
Hg 0.000 0.000 0.000  0.00
K 0.500 0.500 0.000  -0.01
Co 0.750 0.250 0.500  1.94

<D>
The following is a DFT calculation (PBE-GGA) of a relaxed structure of KCoHg2.

Output
symmetry: No. 166

Unit cell a=6.768 b=6.768 c=6.768 alpha=39.20 beta=39.20 gamma=39.20
Each line ends with the local moment (μB).
Fractional positions:
K 0.250 0.250 0.250  -0.01
Hg 0.455 0.455 0.455  -0.03
Hg 0.045 0.045 0.045  -0.03
Co 0.750 0.750 0.750  1.37

If you had to bet on the most stable structure above, which would it be? Bet on <B>.